[1]
VASP calculation (GGA-PBE) on an optimized crystal structure of CrHg2TeC.

Summary:
Formation energy without anion corrections in eV/atom: 1.639
Electronic total energy in eV/f.u.: -14.400

Structure (CIF):
```
data_CrHg2TeC
_chemical_formula_sum 'Cr1 Hg2 Te1 C1'
_space_group_name_H-M_alt 'P 1'
_space_group_IT_number 1
_space_group_name_Hall 'P 1'
_cell_length_a 5.353
_cell_length_b 5.091
_cell_length_c 5.353
_cell_angle_alpha 90.00
_cell_angle_beta 90.00
_cell_angle_gamma 90.00
loop_
_atom_site_label
_atom_site_fract_x
_atom_site_fract_y
_atom_site_fract_z
_atom_site_occupancy
Cr1 0.000 0.000 0.000 1
C1 0.500 0.500 0.500 1
Te1 0.000 0.500 0.000 1
Hg1 0.000 0.000 0.500 1
Hg2 0.500 0.000 0.000 1
```

***

[2]
VASP calculation (GGA-PBE) on an optimized crystal structure of LaSi2Ru.

Summary:
Formation energy without anion corrections in eV/atom: 0.088
Electronic total energy in eV/f.u.: -24.696

Structure (CIF):
```
data_LaSi2Ru
_chemical_formula_sum 'La1 Si2 Ru1'
_space_group_name_H-M_alt 'P 1'
_space_group_IT_number 1
_space_group_name_Hall 'P 1'
_cell_length_a 6.660
_cell_length_b 4.781
_cell_length_c 3.574
_cell_angle_alpha 90.94
_cell_angle_beta 55.93
_cell_angle_gamma 119.16
loop_
_atom_site_label
_atom_site_fract_x
_atom_site_fract_y
_atom_site_fract_z
_atom_site_occupancy
La1 0.000 0.500 0.500 1
Ru1 0.500 0.500 0.000 1
Si1 0.000 0.000 0.000 1
Si2 0.500 0.000 0.500 1
```

***

[3]
VASP calculation (GGA-PBE) on an optimized crystal structure of YTh3Al8.

Summary:
Electronic total energy in eV/f.u.: -63.909

Structure (CIF):
```
data_YTh3Al8
_chemical_formula_sum 'Y1 Th3 Al8'
_space_group_name_H-M_alt 'P 1'
_space_group_IT_number 1
_space_group_name_Hall 'P 1'
_cell_length_a 5.682
_cell_length_b 5.682
_cell_length_c 9.805
_cell_angle_alpha 73.16
_cell_angle_beta 73.16
_cell_angle_gamma 60.00
loop_
_atom_site_label
_atom_site_fract_x
_atom_site_fract_y
_atom_site_fract_z
_atom_site_occupancy
Y1 0.875 0.875 0.375 1
Th1 0.375 0.375 0.876 1
Th2 0.000 0.000 0.999 1
Th3 0.500 0.500 0.500 1
Al1 0.936 0.437 0.189 1
Al2 0.438 0.938 0.686 1
Al3 0.437 0.437 0.189 1
Al4 0.938 0.938 0.686 1
Al5 0.188 0.188 0.437 1
Al6 0.687 0.687 0.939 1
Al7 0.437 0.936 0.189 1
Al8 0.938 0.438 0.686 1
```

***

[4]
VASP calculation (GGA-PBE) on an optimized crystal structure of UGaO2.

Summary:
Formation energy without anion corrections in eV/atom: -1.453
Electronic total energy in eV/f.u.: -30.042

Structure (CIF):
```
data_UGaO2
_chemical_formula_sum 'U1 Ga1 O2'
_space_group_name_H-M_alt 'P 1'
_space_group_IT_number 1
_space_group_name_Hall 'P 1'
_cell_length_a 3.056
_cell_length_b 3.056
_cell_length_c 7.021
_cell_angle_alpha 77.43
_cell_angle_beta 77.43
_cell_angle_gamma 60.00
loop_
_atom_site_label
_atom_site_fract_x
_atom_site_fract_y
_atom_site_fract_z
_atom_site_occupancy
U1 0.000 0.000 0.000 1
O1 0.116 0.116 0.651 1
O2 0.884 0.884 0.349 1
Ga1 0.500 0.500 0.500 1
```